A PBEsol-optimized structure of TaBeTl2. Source: the Alexandria database, functional SCAN.

Output
V: 311.1 Å³ per cell
Energy of formation from the pure elements: 1.0704 eV per atom
Size of the total moment: 1.91 μB per formula unit

```
data_TaBeTl2
_space_group_name_H-M_alt 'F m -3 m'
_space_group_IT_number 225
_space_group_name_Hall '-F 4 2 3'
_cell_length_a 6.7761
_cell_length_b 6.7761
_cell_length_c 6.7761
_cell_angle_alpha 90.00
_cell_angle_beta 90.00
_cell_angle_gamma 90.00
loop_
_atom_site_label
_atom_site_type_symbol
_atom_site_fract_x
_atom_site_fract_y
_atom_site_fract_z
Ta1 Ta 0.0000 0.0000 0.0000
Be1 Be 0.0000 0.0000 0.5000
Tl1 Tl 0.2500 0.2500 0.2500
```



A PBEsol-optimized structure of TaBe3W. Source: the Alexandria database, functional SCAN.

Output
V: 70.4 Å³ per cell
Energy of formation from the pure elements: 1.9317 eV per atom
Size of the total moment: 0.00 μB per formula unit

```
data_TaBe3W
_space_group_name_H-M_alt 'P m -3 m'
_space_group_IT_number 221
_space_group_name_Hall '-P 4 2 3'
_cell_length_a 4.1297
_cell_length_b 4.1297
_cell_length_c 4.1297
_cell_angle_alpha 90.00
_cell_angle_beta 90.00
_cell_angle_gamma 90.00
loop_
_atom_site_label
_atom_site_type_symbol
_atom_site_fract_x
_atom_site_fract_y
_atom_site_fract_z
Ta1 Ta 0.0000 0.0000 0.0000
Be1 Be 0.0000 0.0000 0.5000
W1 W 0.5000 0.5000 0.5000
```